A plane-wave DFT calculation with PBE with a Hubbard U was carried out for crystalline Fe4O7F at its relaxed geometry.

a b c (Å): 7.240 7.240 6.317
angles (deg): 90.00 90.00 131.43
Element x y z (fractional)
Fe 0.118 0.882 0.750
Fe 0.122 0.366 0.750
Fe 0.366 0.122 0.250
Fe 0.377 0.623 0.250
Fe 0.623 0.377 0.750
Fe 0.634 0.878 0.750
Fe 0.878 0.634 0.250
Fe 0.882 0.118 0.250
O 0.032 0.968 0.250
O 0.123 0.374 0.051
O 0.123 0.374 0.449
O 0.217 0.783 0.250
O 0.374 0.123 0.551
O 0.374 0.123 0.949
O 0.468 0.532 0.750
O 0.532 0.468 0.250
O 0.626 0.877 0.051
O 0.626 0.877 0.449
O 0.783 0.217 0.750
O 0.877 0.626 0.551
O 0.877 0.626 0.949
O 0.968 0.032 0.750
F 0.278 0.722 0.750
F 0.722 0.278 0.250

ΔE to the lowest computed polymorph: 115.1 meV/atom
Space group: Cmcm, No. 63